Entry 1:
The following is a DFT calculation (PBE-GGA) of an optimized crystal structure of LaSc3.

Summary:
Crystal system   orthorhombic
E_form   0.086 eV per atom
Total moment   0.000 μB/atom
Space group   Immm (71)
Calculated total energy   -5.89 eV/atom

a = 4.931 Å, b = 5.705 Å, c = 4.911 Å
α = 64.51°, β = 90.00°, γ = 115.60°
Fractional coordinates of all 4 atoms:
Sc (0.251, 0.502, 0.249)
Sc (0.500, 0.000, 0.500)
Sc (0.749, 0.498, 0.751)
La (0.000, 0.000, 0.000)

---

Entry 2:
The following is a DFT calculation (PBE-GGA) of an optimized crystal structure of LaSc.

Summary:
Energy above the most stable polymorph in this dataset   639 meV/atom
Crystal system   cubic
E_form   0.694 eV per atom
Total moment   0.003 μB/atom
Space group   Fm-3m (225)
Calculated total energy   -4.94 eV/atom

a = 4.533 Å, b = 4.533 Å, c = 4.533 Å
α = 60.00°, β = 60.00°, γ = 60.00°
Fractional coordinates of all 2 atoms:
La (0.000, 0.000, 0.000)
Sc (0.500, 0.500, 0.500)

---

Entry 3:
The following is a DFT calculation (PBE-GGA) of an optimized crystal structure of LaSc3.

Summary:
Crystal system   hexagonal
E_form   0.067 eV per atom
Total moment   0.000 μB/atom
Space group   P-6m2 (187)
Calculated total energy   -5.91 eV/atom

a = 3.421 Å, b = 3.421 Å, c = 10.785 Å
α = 90.00°, β = 90.00°, γ = 120.00°
Fractional coordinates of all 4 atoms:
Sc (0.000, 0.000, 0.500)
Sc (0.333, 0.667, 0.268)
Sc (0.333, 0.667, 0.732)
La (0.000, 0.000, 0.000)

---

Entry 4:
The following is a DFT calculation (PBE-GGA) of an optimized crystal structure of LaSc.

Summary:
Energy above the most stable polymorph in this dataset   23 meV/atom
Crystal system   tetragonal
E_form   0.077 eV per atom
Total moment   0.155 μB/atom
Space group   P4/nmm (129)
Calculated total energy   -5.55 eV/atom

a = 3.623 Å, b = 3.623 Å, c = 9.255 Å
α = 90.00°, β = 90.00°, γ = 90.00°
Last column: magnetic moment on the atom in μB.
Fractional coordinates of all 4 atoms:
Sc (0.000, 0.000, 0.523)  0.19
Sc (0.500, 0.500, 0.727)  0.19
La (0.000, 0.000, 0.987)  0.00
La (0.500, 0.500, 0.263)  0.00

---

Entry 5:
The following is a DFT calculation (PBE-GGA) of an optimized crystal structure of LaSc3.

Summary:
Crystal system   trigonal
E_form   0.077 eV per atom
Total moment   0.000 μB/atom
Space group   R-3m (166)
Calculated total energy   -5.90 eV/atom

a = 3.393 Å, b = 11.027 Å, c = 3.393 Å
α = 98.85°, β = 120.00°, γ = 90.00°
Fractional coordinates of all 4 atoms:
Sc (0.246, 0.737, 0.492)
Sc (0.500, 0.500, 0.000)
Sc (0.754, 0.263, 0.508)
La (0.000, 0.000, 0.000)

---

Entry 6:
The following is a DFT calculation (PBE-GGA) of an optimized crystal structure of LaSc3.

Summary:
Crystal system   cubic
E_form   0.203 eV per atom
Total moment   0.001 μB/atom
Space group   Pm-3n (223)
Calculated total energy   -5.78 eV/atom

a = 6.010 Å, b = 6.010 Å, c = 6.010 Å
α = 90.00°, β = 90.00°, γ = 90.00°
Fractional coordinates of all 8 atoms:
La (0.000, 0.000, 0.000)
La (0.500, 0.500, 0.500)
Sc (0.000, 0.250, 0.500)
Sc (0.000, 0.750, 0.500)
Sc (0.250, 0.500, 0.000)
Sc (0.500, 0.000, 0.250)
Sc (0.500, 0.000, 0.750)
Sc (0.750, 0.500, 0.000)

---

Entry 7:
The following is a DFT calculation (PBE-GGA) of an optimized crystal structure of La2Sc17.

Summary:
Crystal system   trigonal
E_form   0.239 eV per atom
Total moment   0.293 μB/atom
Space group   R-3m (166)
Calculated total energy   -5.94 eV/atom

a = 8.129 Å, b = 8.129 Å, c = 8.129 Å
α = 81.98°, β = 81.98°, γ = 81.98°
Last column: magnetic moment on the atom in μB.
Fractional coordinates of all 19 atoms:
La (0.338, 0.338, 0.338)  0.07
La (0.662, 0.662, 0.662)  0.07
Sc (0.642, 0.642, 0.148)  0.17
Sc (0.148, 0.642, 0.642)  0.17
Sc (0.900, 0.900, 0.900)  0.22
Sc (0.100, 0.100, 0.100)  0.22
Sc (0.000, 0.000, 0.500)  0.20
Sc (0.000, 0.500, 0.000)  0.20
Sc (0.500, 0.000, 0.000)  0.20
Sc (0.294, 0.706, 0.000)  0.15
Sc (0.706, 0.000, 0.294)  0.15
Sc (0.000, 0.294, 0.706)  0.15
Sc (0.706, 0.294, 0.000)  0.15
Sc (0.294, 0.000, 0.706)  0.15
Sc (0.000, 0.706, 0.294)  0.15
Sc (0.852, 0.358, 0.358)  0.17
Sc (0.358, 0.358, 0.852)  0.17
Sc (0.358, 0.852, 0.358)  0.17
Sc (0.642, 0.148, 0.642)  0.17

---

Entry 8:
The following is a DFT calculation (PBE-GGA) of an optimized crystal structure of LaSc.

Summary:
Energy above the most stable polymorph in this dataset   32 meV/atom
Crystal system   orthorhombic
E_form   0.087 eV per atom
Total moment   0.000 μB/atom
Space group   Amm2 (38)
Calculated total energy   -5.54 eV/atom

a = 3.549 Å, b = 9.282 Å, c = 5.620 Å
α = 90.00°, β = 90.00°, γ = 101.02°
Fractional coordinates of all 6 atoms:
La (0.996, 0.993, 0.000)
La (0.671, 0.342, 0.000)
La (0.225, 0.450, 0.500)
Sc (0.337, 0.675, 0.000)
Sc (0.547, 0.094, 0.500)
Sc (0.890, 0.780, 0.500)